1.
# NaPuSeO6, relaxed, DFT PBE-GGA
# Formation energy without anion corrections ... -14.3 eV per formula unit
data_NaPuSeO6
_symmetry_space_group_name_H-M 'P 3 1 2'
_symmetry_Int_Tables_number 149
_cell_length_a 5.4281
_cell_length_b 5.4281
_cell_length_c 5.1426
_cell_angle_alpha 90.00
_cell_angle_beta 90.00
_cell_angle_gamma 120.00
loop_
_symmetry_equiv_pos_as_xyz
'x,y,z'
'-y,x-y,z'
'-x+y,-x,z'
'-y,-x,-z'
'-x+y,y,-z'
'x,x-y,-z'
loop_
_atom_site_label
_atom_site_fract_x
_atom_site_fract_y
_atom_site_fract_z
Na1 0.0000 0.0000 0.0000
Pu1 0.3333 0.6667 0.5000
Se1 0.6667 0.3333 0.5000
O1 0.3674 0.0008 0.7081

2.
# TaMoP, relaxed, DFT PBE-GGA
# Formation enthalpy at 0 K ... -0.54 eV per formula unit
data_TaMoP
_symmetry_space_group_name_H-M 'P 3 m 1'
_symmetry_Int_Tables_number 156
_cell_length_a 3.4212
_cell_length_b 3.4212
_cell_length_c 4.9236
_cell_angle_alpha 90.00
_cell_angle_beta 90.00
_cell_angle_gamma 120.00
loop_
_symmetry_equiv_pos_as_xyz
'x,y,z'
'-y,x-y,z'
'-x+y,-x,z'
'-y,-x,z'
'-x+y,y,z'
'x,x-y,z'
loop_
_atom_site_label
_atom_site_fract_x
_atom_site_fract_y
_atom_site_fract_z
Ta1 0.0000 0.0000 0.0000
Mo1 0.6667 0.3333 0.4548
P1 0.3333 0.6667 0.7136

The magnetic moment results, record by record, are as follows: 1.0; 0.0 μB per cell.